# 1
Pm3Pd2Pb4: relaxed, PBE-GGA.

Computed properties:
formation energy from the elements: -0.57 eV/atom
space-group type: No. 12
ΔE to the lowest computed polymorph: 0 meV/atom
mass density: 10145 kg/m³
uncorrected energy: -44.6 eV per formula unit

Cell lengths 4.724, 6.311, 9.092 Å; angles 104.77, 90.00, 111.98 degrees
Positions (direct):
Pm 0.636 0.271 0.687
Pm 0.000 0.000 0.000
Pm 0.364 0.729 0.313
Pd 0.703 0.406 0.394
Pd 0.297 0.594 0.606
Pb 0.699 0.398 0.080
Pb 0.301 0.602 0.920
Pb 0.927 0.854 0.624
Pb 0.073 0.146 0.376

=====

# 2
Pm2Pd4Pb3: relaxed, PBE-GGA.

Computed properties:
formation energy from the elements: -0.53 eV/atom
space-group type: No. 64
ΔE to the lowest computed polymorph: 3 meV/atom
mass density: 10832 kg/m³
uncorrected energy: -46.2 eV per formula unit

Cell lengths 6.344, 7.521, 9.160 Å; angles 90.00, 110.26, 90.00 degrees
Positions (direct):
Pm 0.103 0.590 0.205
Pm 0.897 0.410 0.795
Pm 0.397 0.090 0.795
Pm 0.603 0.910 0.205
Pd 0.679 0.750 0.858
Pd 0.821 0.250 0.142
Pd 0.321 0.250 0.142
Pd 0.179 0.750 0.858
Pd 0.162 0.979 0.323
Pd 0.838 0.021 0.677
Pd 0.338 0.479 0.677
Pd 0.662 0.521 0.323
Pb 0.000 0.000 0.000
Pb 0.500 0.500 0.000
Pb 0.512 0.750 0.524
Pb 0.988 0.250 0.476
Pb 0.488 0.250 0.476
Pb 0.012 0.750 0.524

=====

# 3
PmPd6Pb: relaxed, PBE-GGA.

Computed properties:
formation energy from the elements: -0.19 eV/atom
space-group type: No. 166
ΔE to the lowest computed polymorph: 350 meV/atom
mass density: 8844 kg/m³
uncorrected energy: -41.1 eV per formula unit

Cell lengths 5.466, 5.466, 7.852 Å; angles 69.63, 69.63, 60.00 degrees
Positions (direct):
Pm 0.500 0.500 0.500
Pd 0.934 0.934 0.691
Pd 0.442 0.934 0.691
Pd 0.066 0.558 0.309
Pd 0.558 0.066 0.309
Pd 0.066 0.066 0.309
Pd 0.934 0.442 0.691
Pb 0.000 0.000 0.000

=====

# 4
Pm7PdPb4: relaxed, PBE-GGA.

Computed properties:
formation energy from the elements: -0.33 eV/atom
space-group type: No. 12
mass density: 8135 kg/m³
uncorrected energy: -57.2 eV per formula unit

Cell lengths 5.539, 9.544, 8.387 Å; angles 78.73, 70.72, 73.13 degrees
Positions (direct):
Pm 0.790 0.867 0.553
Pm 0.210 0.133 0.447
Pm 0.079 0.703 0.139
Pm 0.921 0.297 0.861
Pm 0.356 0.563 0.725
Pm 0.500 0.000 0.000
Pm 0.644 0.437 0.275
Pd 0.000 0.000 0.000
Pb 0.577 0.219 0.627
Pb 0.423 0.781 0.373
Pb 0.722 0.658 0.897
Pb 0.278 0.342 0.103

=====

# 5
Pm2Pd4Pb3: relaxed, PBE-GGA.

Computed properties:
formation energy from the elements: -0.53 eV/atom
space-group type: No. 12
ΔE to the lowest computed polymorph: 0 meV/atom
mass density: 10972 kg/m³
uncorrected energy: -46.2 eV per formula unit

Cell lengths 4.952, 4.957, 9.516 Å; angles 89.90, 90.00, 60.04 degrees
Positions (direct):
Pm 0.333 0.335 0.783
Pm 0.667 0.665 0.217
Pd 0.666 0.668 0.912
Pd 0.001 0.998 0.354
Pd 0.999 0.002 0.646
Pd 0.334 0.332 0.088
Pb 0.334 0.332 0.406
Pb 0.000 0.000 0.000
Pb 0.666 0.668 0.594

=====

# 6
Pm2Pd3Pb2: relaxed, PBE-GGA.

Computed properties:
formation energy from the elements: -0.57 eV/atom
space-group type: No. 199
mass density: 9850 kg/m³
uncorrected energy: -36.5 eV per formula unit

Cell lengths 7.654, 7.654, 7.654 Å; angles 109.47, 109.47, 109.47 degrees
Positions (direct):
Pm 0.000 0.000 0.484
Pm 0.500 0.484 0.500
Pm 0.516 0.016 0.016
Pm 0.984 0.500 0.000
Pd 0.766 0.750 0.016
Pd 0.734 0.250 0.484
Pd 0.984 0.234 0.250
Pd 0.516 0.266 0.750
Pd 0.250 0.016 0.266
Pd 0.750 0.484 0.234
Pb 0.000 0.000 0.895
Pb 0.500 0.895 0.500
Pb 0.105 0.605 0.605
Pb 0.395 0.500 0.000

=====

# 7
Pm5Pd4Pb: relaxed, PBE-GGA.

Computed properties:
formation energy from the elements: -0.71 eV/atom
space-group type: No. 123
mass density: 9166 kg/m³
uncorrected energy: -55.3 eV per formula unit

Cell lengths 3.574, 3.574, 19.259 Å; angles 90.00, 90.00, 90.00 degrees
Positions (direct):
Pm 0.500 0.500 0.122
Pm 0.500 0.500 0.310
Pm 0.500 0.500 0.500
Pm 0.500 0.500 0.690
Pm 0.500 0.500 0.878
Pd 0.000 0.000 0.218
Pd 0.000 0.000 0.406
Pd 0.000 0.000 0.594
Pd 0.000 0.000 0.782
Pb 0.000 0.000 0.000

=====

# 8
PmPd8Pb2: relaxed, PBE-GGA.

Computed properties:
formation energy from the elements: -0.32 eV/atom
space-group type: No. 12
mass density: 11279 kg/m³
uncorrected energy: -57.2 eV per formula unit

Cell lengths 5.026, 8.168, 8.168 Å; angles 123.95, 108.21, 108.21 degrees
Positions (direct):
Pm 0.500 0.000 0.000
Pd 0.752 0.899 0.628
Pd 0.752 0.628 0.899
Pd 0.228 0.479 0.479
Pd 0.500 0.804 0.196
Pd 0.500 0.196 0.804
Pd 0.772 0.521 0.521
Pd 0.248 0.372 0.101
Pd 0.248 0.101 0.372
Pb 0.000 0.317 0.683
Pb 0.000 0.683 0.317

=====

- Number 6 is which compound?
  Pm2Pd3Pb2

=====

- Which of these has the lowest mass density?
  Pm7PdPb4

=====

- Among the records above, which one has the lowest formation energy from the elements?
  Pm5Pd4Pb

=====

- The lowest formation energy from the elements belongs to which entry?
  Pm5Pd4Pb